No. 1
{"formula": "Cd4H", "functional": "PBE", "state": "optimized geometry", "e_tot_ev_per_cell": -5.66, "lattice_angstrom": [[-1.124, -4.444, -0.300], [4.140, -0.928, -1.761], [1.643, -0.701, 4.232]], "species": ["H", "Cd", "Cd", "Cd", "Cd"], "frac_coords": [[0.500, 0.500, 0.500], [0.000, 0.000, 0.000], [0.500, 0.000, 0.500], [0.000, 0.500, 0.500], [0.500, 0.500, 0.000]]}

No. 2
{"formula": "Li4Dy3PuS8", "functional": "PBE", "state": "optimized geometry", "formation_energy_uncorrected_ev_per_atom": -1.761, "lattice_angstrom": [[-7.391, 2.400, -1.180], [-2.086, -7.198, -1.579], [3.676, 1.753, 6.720]], "species": ["Li", "Li", "Li", "Li", "Dy", "Dy", "Dy", "Pu", "S", "S", "S", "S", "S", "S", "S", "S"], "frac_coords": [[0.500, 0.000, 0.000], [0.500, 0.000, 0.500], [0.000, 0.000, 0.000], [0.000, 0.000, 0.500], [0.500, 0.500, 0.000], [0.500, 0.500, 0.500], [0.000, 0.500, 0.500], [0.000, 0.500, 0.000], [0.252, 0.751, 0.999], [0.252, 0.751, 0.503], [0.250, 0.249, 0.499], [0.748, 0.751, 0.999], [0.252, 0.249, 0.001], [0.750, 0.751, 0.501], [0.748, 0.249, 0.497], [0.748, 0.249, 0.001]]}

No. 3
{"formula": "NaTl7Pb3", "functional": "PBE", "state": "optimized geometry", "relative_energy_ev_per_fu": 0.000, "e_form_ev_per_atom": -0.01, "lattice_angstrom": [[-2.248, -0.044, -6.012], [-4.057, -6.732, 3.032], [-1.952, 4.411, 8.313]], "species": ["Na", "Tl", "Tl", "Tl", "Tl", "Tl", "Tl", "Tl", "Pb", "Pb", "Pb"], "frac_coords": [[0.500, 0.500, 0.500], [0.322, 0.153, 0.218], [0.206, 0.151, 0.516], [0.729, 0.394, 0.991], [0.271, 0.606, 0.009], [0.000, 0.500, 0.500], [0.794, 0.849, 0.484], [0.678, 0.847, 0.782], [0.038, 0.773, 0.252], [0.500, 0.000, 0.000], [0.962, 0.227, 0.748]]}

No. 4
{"formula": "KMnRe2", "functional": "PBE", "state": "optimized geometry", "relative_energy_ev_per_fu": 0.448, "e_form_ev_per_atom": 0.88, "lattice_angstrom": [[-0.122, 1.590, 2.172], [-0.569, -2.141, 1.535], [9.366, -1.386, 1.540]], "species": ["K", "Mn", "Re", "Re"], "frac_coords": [[0.500, 0.500, 0.250], [0.500, 0.500, 0.750], [0.000, 0.000, 0.933], [0.000, 0.000, 0.567]]}

No. 5
{"formula": "Er6NiSn", "functional": "PBE", "state": "optimized geometry", "e_form_ev_per_atom": -0.06, "lattice_angstrom": [[-3.139, -4.364, -4.026], [-4.965, -3.838, 2.427], [-6.897, 1.735, -2.079]], "species": ["Er", "Er", "Er", "Er", "Er", "Er", "Ni", "Sn"], "frac_coords": [[0.036, 0.416, 0.761], [0.787, 0.035, 0.761], [0.584, 0.213, 0.239], [0.213, 0.965, 0.239], [0.964, 0.584, 0.239], [0.416, 0.787, 0.761], [0.000, 0.000, 0.000], [0.500, 0.500, 0.500]]}

No. 6
{"formula": "EuRuN2", "functional": "PBE", "state": "optimized geometry", "formation_energy_uncorrected_ev_per_atom": -0.280, "lattice_angstrom": [[3.345, 0.000, 0.000], [1.673, 2.897, 0.000], [1.673, 0.966, 5.034]], "species": ["Eu", "Ru", "N", "N"], "frac_coords": [[0.500, 0.500, 0.500], [0.000, 0.000, 0.000], [0.267, 0.267, 0.199], [0.733, 0.733, 0.801]]}

No. 7
{"formula": "LiW2Cl", "functional": "PBE", "state": "optimized geometry", "formation_energy_uncorrected_ev_per_atom": 0.635, "relative_energy_ev_per_fu": 2.348, "lattice_angstrom": [[-1.363, -5.882, -1.807], [5.043, 3.636, -1.031], [2.398, -1.696, 1.003]], "species": ["Cl", "Li", "W", "W"], "frac_coords": [[0.500, 0.000, 0.500], [0.000, 0.500, 0.500], [0.000, 0.000, 0.000], [0.500, 0.500, 0.000]]}

No. 8
{"formula": "Pm2Cd2Pt3", "functional": "PBE", "state": "optimized geometry", "e_form_ev_per_atom": -0.83, "lattice_angstrom": [[4.323, 0.000, 0.000], [0.000, 7.441, 0.280], [-2.162, -1.578, 4.752]], "species": ["Pm", "Pm", "Cd", "Cd", "Pt", "Pt", "Pt"], "frac_coords": [[0.367, 0.189, 0.734], [0.633, 0.811, 0.266], [0.126, 0.435, 0.252], [0.874, 0.565, 0.748], [0.000, 0.000, 0.000], [0.333, 0.787, 0.665], [0.667, 0.213, 0.335]]}

No. 9
{"formula": "HoTh2AgC", "functional": "PBE", "state": "optimized geometry", "e_form_ev_per_atom": -0.13, "lattice_angstrom": [[-4.203, -2.701, -0.814], [2.494, -4.240, 1.192], [-1.269, 0.566, 4.670]], "species": ["Ho", "Th", "Th", "Ag", "C"], "frac_coords": [[0.000, 0.000, 0.500], [0.000, 0.500, 0.000], [0.500, 0.000, 0.000], [0.500, 0.500, 0.500], [0.000, 0.000, 0.000]]}

No. 10
{"formula": "BaTa2Re", "functional": "PBE", "state": "optimized geometry", "relative_energy_ev_per_fu": 1.008, "e_form_ev_per_atom": 0.75, "lattice_angstrom": [[4.968, -0.030, -0.085], [3.879, 3.104, -0.085], [0.891, 0.310, 6.821]], "species": ["Re", "Ba", "Ta", "Ta"], "frac_coords": [[0.736, 0.736, 0.869], [0.488, 0.488, 0.510], [0.007, 0.007, 0.985], [0.269, 0.269, 0.136]]}

No. 11
{"formula": "ReHN2F", "functional": "PBE", "state": "optimized geometry", "relative_energy_ev_per_fu": 0.000, "lattice_angstrom": [[-0.025, -3.132, -2.191], [0.468, -2.177, 3.107], [-4.085, -0.267, 0.429]], "species": ["Re", "N", "N", "H", "F"], "frac_coords": [[0.000, 0.000, 0.000], [0.000, 0.500, 0.000], [0.500, 0.000, 0.000], [0.500, 0.500, 0.500], [0.000, 0.000, 0.500]]}

No. 12
{"formula": "Ba4PtAu2Br", "functional": "PBE", "state": "optimized geometry", "formation_energy_uncorrected_ev_per_atom": -0.956, "lattice_angstrom": [[4.664, 0.000, 0.000], [0.000, 8.139, -0.190], [0.000, 2.841, 7.921]], "species": ["Ba", "Ba", "Ba", "Ba", "Pt", "Au", "Au", "Br"], "frac_coords": [[0.000, 0.751, 0.728], [0.000, 0.249, 0.272], [0.500, 0.739, 0.273], [0.500, 0.261, 0.727], [0.000, 0.500, 0.500], [0.000, 0.000, 0.000], [0.500, 0.000, 0.500], [0.500, 0.500, 0.000]]}

Number 1: total moment 0.00 μB per cell. Number 2: total moment 5.00 μB per cell. Number 3: total moment 0.00 μB per cell. Number 4: total moment 0.33 μB per cell. Number 5: total moment 0.00 μB per cell. Number 6: total moment 5.13 μB per cell. Number 7: total moment 0.00 μB per cell. Number 8: total moment 0.00 μB per cell. Number 9: total moment 0.00 μB per cell. Number 10: total moment 0.00 μB per cell. Number 11: total moment 0.94 μB per cell. Number 12: total moment 0.00 μB per cell.